Entry 1:
# InOs2Au | the Alexandria database | PBEsol | optimized geometry
data_InOs2Au
_chemical_formula_sum 'In1 Os2 Au1'
_symmetry_space_group_name_H-M 'P 4 m m'
_symmetry_Int_Tables_number 99
_cell_length_a 2.850
_cell_length_b 2.850
_cell_length_c 7.958
_cell_angle_alpha 90.00
_cell_angle_beta 90.00
_cell_angle_gamma 90.00
loop_
_symmetry_equiv_pos_as_xyz
'x,y,z'
'-y,x,z'
'-x,-y,z'
'y,-x,z'
'-x,y,z'
'y,x,z'
'x,-y,z'
'-y,-x,z'
loop_
_atom_site_label
_atom_site_type_symbol
_atom_site_fract_x
_atom_site_fract_y
_atom_site_fract_z
In1 In 0.000 0.000 0.000
Os1 Os 0.000 0.000 0.464
Os2 Os 0.500 0.500 0.261
Au1 Au 0.500 0.500 0.725
# energy relative to the elements = 0.22 eV per atom

---

Entry 2:
# MgSbBr3 | the Alexandria database | PBEsol | optimized geometry
data_MgSbBr3
_chemical_formula_sum 'Mg1 Sb1 Br3'
_symmetry_space_group_name_H-M 'P m -3 m'
_symmetry_Int_Tables_number 221
_symmetry_space_group_name_Hall '-P 4 2 3'
_cell_length_a 5.587
_cell_length_b 5.587
_cell_length_c 5.587
_cell_angle_alpha 90.00
_cell_angle_beta 90.00
_cell_angle_gamma 90.00
loop_
_atom_site_label
_atom_site_type_symbol
_atom_site_fract_x
_atom_site_fract_y
_atom_site_fract_z
Mg1 Mg 0.000 0.000 0.000
Sb1 Sb 0.500 0.500 0.500
Br1 Br 0.000 0.500 0.500
# raw formation energy = -0.219 eV per atom

---

Entry 3:
# KSbBr3 | the Alexandria database | PBEsol | optimized geometry
data_KSbBr3
_chemical_formula_sum 'K1 Sb1 Br3'
_symmetry_space_group_name_H-M 'P m -3 m'
_symmetry_Int_Tables_number 221
_symmetry_space_group_name_Hall '-P 4 2 3'
_cell_length_a 5.668
_cell_length_b 5.668
_cell_length_c 5.668
_cell_angle_alpha 90.00
_cell_angle_beta 90.00
_cell_angle_gamma 90.00
loop_
_atom_site_label
_atom_site_type_symbol
_atom_site_fract_x
_atom_site_fract_y
_atom_site_fract_z
K1 K 0.000 0.000 0.000
Sb1 Sb 0.500 0.500 0.500
Br1 Br 0.000 0.000 0.500
# raw formation energy = 0.026 eV per atom

---

Entry 4:
# Ag2PtAu | the Alexandria database | PBEsol | optimized geometry
data_Ag2PtAu
_chemical_formula_sum 'Ag6 Pt3 Au3'
_symmetry_space_group_name_H-M 'R 3 m'
_symmetry_Int_Tables_number 160
_symmetry_space_group_name_Hall 'R 3 -2"'
_cell_length_a 2.8034
_cell_length_b 2.8034
_cell_length_c 28.3587
_cell_angle_alpha 90.00
_cell_angle_beta 90.00
_cell_angle_gamma 120.00
loop_
_atom_site_label
_atom_site_type_symbol
_atom_site_fract_x
_atom_site_fract_y
_atom_site_fract_z
Ag1 Ag 0.0000 0.0000 0.0000
Ag2 Ag 0.0000 0.0000 0.2501
Pt1 Pt 0.0000 0.0000 0.5016
Au1 Au 0.0000 0.0000 0.7511
# energy relative to the elements = -0.02 eV per atom

---

Entry 5:
# Zn2FeIr | the Alexandria database | PBEsol | optimized geometry
data_Zn2FeIr
_chemical_formula_sum 'Zn4 Fe2 Ir2'
_symmetry_space_group_name_H-M 'I -4 m 2'
_symmetry_Int_Tables_number 119
_symmetry_space_group_name_Hall 'I -4 -2'
_cell_length_a 3.857
_cell_length_b 3.857
_cell_length_c 6.988
_cell_angle_alpha 90.00
_cell_angle_beta 90.00
_cell_angle_gamma 90.00
loop_
_atom_site_label
_atom_site_type_symbol
_atom_site_fract_x
_atom_site_fract_y
_atom_site_fract_z
Zn1 Zn 0.000 0.000 0.000
Zn2 Zn 0.000 0.500 0.250
Fe1 Fe 0.000 0.000 0.500
Ir1 Ir 0.000 0.500 0.750
# energy relative to the elements = -0.07 eV per atom

---

Entry 6:
# Sn3SbSe2I5 | the Alexandria database | PBEsol | optimized geometry
data_Sn3SbSe2I5
_chemical_formula_sum 'Sn6 Sb2 Se4 I10'
_symmetry_space_group_name_H-M 'C 1 m 1'
_symmetry_Int_Tables_number 8
_cell_length_a 13.900
_cell_length_b 4.218
_cell_length_c 12.472
_cell_angle_alpha 90.00
_cell_angle_beta 99.12
_cell_angle_gamma 90.00
loop_
_symmetry_equiv_pos_as_xyz
'x,y,z'
'x,-y,z'
'x+1/2,y+1/2,z'
'x+1/2,-y+1/2,z'
loop_
_atom_site_label
_atom_site_type_symbol
_atom_site_fract_x
_atom_site_fract_y
_atom_site_fract_z
Sn1 Sn 0.000 0.000 0.000
Sn2 Sn 0.013 0.000 0.646
Sn3 Sn 0.265 0.000 0.708
Sb1 Sb 0.272 0.000 0.357
Se1 Se 0.385 0.500 0.789
Se2 Se 0.390 0.000 0.554
I1 I 0.110 0.500 0.841
I2 I 0.140 0.500 0.181
I3 I 0.166 0.500 0.489
I4 I 0.350 0.000 0.031
I5 I 0.416 0.500 0.312
# raw formation energy = -0.364 eV per atom

---

Please write out number 4 again, unchanged.
# Ag2PtAu | the Alexandria database | PBEsol | optimized geometry
data_Ag2PtAu
_chemical_formula_sum 'Ag6 Pt3 Au3'
_symmetry_space_group_name_H-M 'R 3 m'
_symmetry_Int_Tables_number 160
_symmetry_space_group_name_Hall 'R 3 -2"'
_cell_length_a 2.8034
_cell_length_b 2.8034
_cell_length_c 28.3587
_cell_angle_alpha 90.00
_cell_angle_beta 90.00
_cell_angle_gamma 120.00
loop_
_atom_site_label
_atom_site_type_symbol
_atom_site_fract_x
_atom_site_fract_y
_atom_site_fract_z
Ag1 Ag 0.0000 0.0000 0.0000
Ag2 Ag 0.0000 0.0000 0.2501
Pt1 Pt 0.0000 0.0000 0.5016
Au1 Au 0.0000 0.0000 0.7511
# energy relative to the elements = -0.02 eV per atom